[1]
Below is a relaxed Tl2CdPb crystal, with properties calculated at the PBE level.

Cell lengths 3.461, 3.461, 33.782 Å; angles 90.00, 90.00, 120.00 degrees
Element x y z (fractional)
Tl1 0.000 0.000 0.000
Tl2 0.000 0.000 0.245
Tl3 0.333 0.667 0.667
Tl4 0.333 0.667 0.912
Tl5 0.667 0.333 0.333
Tl6 0.667 0.333 0.579
Cd1 0.000 0.000 0.502
Cd2 0.333 0.667 0.169
Cd3 0.667 0.333 0.835
Pb1 0.000 0.000 0.755
Pb2 0.333 0.667 0.422
Pb3 0.667 0.333 0.089

Properties
**SG**: No. 160

[2]
Below is a relaxed Tl2CdPb crystal, with properties calculated at the PBE level.

Cell lengths 3.461, 3.461, 33.659 Å; angles 90.00, 90.00, 120.00 degrees
Element x y z (fractional)
Tl1 0.000 0.000 0.245
Tl2 0.000 0.000 0.755
Tl3 0.333 0.667 0.422
Tl4 0.333 0.667 0.912
Tl5 0.667 0.333 0.088
Tl6 0.667 0.333 0.578
Cd1 0.000 0.000 0.500
Cd2 0.333 0.667 0.167
Cd3 0.667 0.333 0.833
Pb1 0.000 0.000 0.000
Pb2 0.333 0.667 0.667
Pb3 0.667 0.333 0.333

Properties
**SG**: No. 166

[3]
Below is a relaxed Tl2Cd6Pb crystal, with properties calculated at the PBE level.

Cell lengths 9.052, 9.052, 3.348 Å; angles 90.01, 90.01, 60.09 degrees
Element x y z (fractional)
Tl1 0.167 0.167 0.000
Tl2 0.833 0.833 0.000
Cd1 0.166 0.500 0.502
Cd2 0.166 0.834 0.500
Cd3 0.500 0.166 0.502
Cd4 0.500 0.834 0.498
Cd5 0.834 0.166 0.500
Cd6 0.834 0.500 0.498
Pb1 0.500 0.500 0.000

Properties
**SG**: No. 12

Number 1: energy relative to the elements 0.03 eV/atom. Number 2: energy relative to the elements 0.02 eV/atom. Number 3: energy relative to the elements 0.06 eV/atom.